Below is a relaxed structure of ScSn4Ru, with properties calculated at the PBE-GGA level.

```
ScSn4Ru
1.0
-3.366 3.366 5.954
3.366 -3.366 5.954
3.366 3.366 -5.954
Sc Sn Ru
2 8 2
Direct
0.000 0.000 0.000 Sc
0.500 0.500 0.000 Sc
0.015 0.515 0.813 Sn
0.202 0.015 0.500 Sn
0.298 0.798 0.813 Sn
0.485 0.298 0.500 Sn
0.515 0.702 0.500 Sn
0.702 0.202 0.187 Sn
0.798 0.985 0.500 Sn
0.985 0.485 0.187 Sn
0.250 0.250 0.000 Ru
0.750 0.750 0.000 Ru
```

N(E_F): 3.156 states/eV/f.u.
Energy of formation: -0.325 eV/atom
Space-group type: I4/mcm
Size of the total moment: 0.0 Bohr magnetons per cell